Density functional theory data (GGA-PBE) for a geometry-optimized Na2Cr2Si structure.

Lattice parameters (Å, degrees): 7.302 7.302 3.828 90.00 90.00 90.00
Space group P4/mbm (No. 127)
Unique sites:
Na 0.122 0.378 0.000 x4
Cr 0.191 0.691 0.500 x4
Si 0.000 0.000 0.000 x2

Computed properties:
raw total energy	-0.1598	Ha/atom
ρ	2898	kg/m3



Density functional theory data (GGA-PBE) for a geometry-optimized NaCr3Si structure.

Lattice parameters (Å, degrees): 4.847 4.847 4.847 90.00 90.00 90.00
Space group Pm-3m (No. 221)
Unique sites:
Na 0.000 0.000 0.000 x1
Cr 0.000 0.500 0.500 x3
Si 0.500 0.500 0.500 x1

Computed properties:
raw total energy	-0.2283	Ha/atom
ρ	3019	kg/m3



Density functional theory data (GGA-PBE) for a geometry-optimized Na3CrSi structure.

Lattice parameters (Å, degrees): 5.555 5.555 5.555 90.00 90.00 90.00
Space group Pm-3m (No. 221)
Unique sites:
Na 0.000 0.000 0.500 x3
Cr 0.500 0.500 0.500 x1
Si 0.000 0.000 0.000 x1

Computed properties:
raw total energy	-0.1087	Ha/atom
ρ	1444	kg/m3



- Which formula does entry 2 have?
  NaCr3Si